Entry from the Open Quantum Materials Database: a relaxed MgCuReB crystal (GGA-PBE).

Space group: F-43m, No. 216
DFT total energy, eV per atom: -5.2940
Size of the total moment, μB/f.u.: 0.0
Offset from the most stable computed form, eV/f.u.: 0.00

Cell: 4.094 4.094 4.094 Å, 60.00 60.00 60.00°
Element x y z (fractional)
1 Re 0.250 0.250 0.250
2 Cu 0.750 0.750 0.750
3 B 0.000 0.000 0.000
4 Mg 0.500 0.500 0.500